# NaVS2O8

A relaxed NaVS2O8 crystal (GGA+U, Alexandria).

abc: 4.8193 4.8193 23.0870
angles: 90.00 90.00 120.00
Space group R-3 (No. 148, hexagonal axes)
Symmetry-distinct sites (fractional):
1 Na 0.0000 0.0000 0.0000 [3 per cell]
2 V 0.0000 0.0000 0.5000 [3 per cell]
3 S 0.0000 0.0000 0.2419 [6 per cell]
4 O 0.0000 0.0000 0.3051 [6 per cell]
5 O 0.0254 0.3044 0.2197 [18 per cell]

E above lowest polymorph	21	meV per atom
size of the total moment	0.1667	μB/atom
V	12.90	Å³/atom